Entry 1:
BeTl3Cr, single point on PBEsol structure, DFT meta-GGA SCAN; space-group type = Pm-3m, No. 221; E_tot = -47.4335 eV/atom; energy of formation = 529 meV per atom; total magnetic moment = 4.904 μB per formula unit; calculated volume = 23.4 Å³/atom
1.0
4.8877 0.0000 0.0000
0.0000 4.8877 0.0000
0.0000 0.0000 4.8877
Be Tl Cr
1 3 1
Direct
0.0000 0.0000 0.0000 Be
0.0000 0.0000 0.5000 Tl
0.0000 0.5000 0.0000 Tl
0.5000 0.0000 0.0000 Tl
0.5000 0.5000 0.5000 Cr


Entry 2:
Be4CrW, single point on PBEsol structure, DFT meta-GGA SCAN; space-group type = F-43m, No. 216; E_tot = -17.8242 eV/atom; energy of formation = -243 meV per atom; total magnetic moment = 0.006 μB per formula unit; calculated volume = 9.4 Å³/atom
1.0
0.0000 3.0441 3.0441
3.0441 0.0000 3.0441
3.0441 3.0441 0.0000
Be Cr W
4 1 1
Direct
0.1249 0.1249 0.1249 Be
0.1249 0.1249 0.6254 Be
0.1249 0.6254 0.1249 Be
0.6254 0.1249 0.1249 Be
0.7500 0.7500 0.7500 Cr
0.5000 0.5000 0.5000 W


Entry 3:
BeCrW2, single point on PBEsol structure, DFT meta-GGA SCAN; space-group type = P2/m, No. 10; E_tot = -40.3176 eV/atom; energy of formation = 211 meV per atom; total magnetic moment = 0.000 μB per formula unit; calculated volume = 13.3 Å³/atom
1.0
2.6118 0.0000 0.0000
0.0000 4.0717 0.0000
-0.9520 0.0000 4.9857
Be Cr W
1 1 2
Direct
0.0000 0.0000 0.0000 Be
0.5000 0.0000 0.5000 Cr
0.2508 0.5000 0.7500 W
0.7492 0.5000 0.2500 W


Entry 4:
BeCr2W, single point on PBEsol structure, DFT meta-GGA SCAN; space-group type = C2/m, No. 12; E_tot = -27.5145 eV/atom; energy of formation = 188 meV per atom; total magnetic moment = 0.000 μB per formula unit; calculated volume = 11.9 Å³/atom
1.0
2.4598 -4.1207 0.0000
2.4598 4.1207 0.0000
-0.9038 0.0000 2.3528
Be Cr W
1 2 1
Direct
0.0000 0.0000 0.0000 Be
0.0000 0.5000 0.5000 Cr
0.5000 0.0000 0.5000 Cr
0.5000 0.5000 0.0000 W